# 1
Entry from Alexandria via LeMat-Bulk: an optimized crystal structure of HgBiTe2 (PBE).

DOS(E_F) (states/eV/cell): 4.0
Space group: Fm-3m
Energy above the most stable polymorph in this dataset (eV/atom): 0.241
Total DFT energy (no corrections) (eV/cell): -10.1
Energy relative to the elements, uncorrected (eV/atom): 0.10

Unit cell a=5.4901 b=5.4901 c=5.4901 alpha=60.00 beta=60.00 gamma=60.00
With the nearest neighbours (Å) after each atom.
Element x y z (fractional)
Te: 0.7500 0.7500 0.7500  4 Bi 3.36, 4 Hg 3.36
Te: 0.2500 0.2500 0.2500  4 Bi 3.36, 4 Hg 3.36
Hg: 0.0000 0.0000 0.0000  8 Te 3.36
Bi: 0.5000 0.5000 0.5000  8 Te 3.36

---

# 2
Entry from Alexandria via LeMat-Bulk: an optimized crystal structure of ErZn3Au2 (PBE).

DOS(E_F) (states/eV/cell): 3.2
Space group: C2/m
Total DFT energy (no corrections) (eV/cell): -35.3

Unit cell a=4.0865 b=6.7361 c=8.6301 alpha=108.25 beta=103.70 gamma=90.00
With the nearest neighbours (Å) after each atom.
Element x y z (fractional)
Zn: 0.6354 0.4898 0.2707  3 Zn 2.61-2.63, 4 Au 2.67-2.74
Zn: 0.0745 0.6360 0.1490  3 Zn 2.58-2.61, 3 Au 2.65-2.71
Zn: 0.3646 0.5102 0.7293  3 Zn 2.61-2.63, 4 Au 2.67-2.74
Zn: 0.9255 0.3640 0.8510  3 Zn 2.58-2.61, 3 Au 2.65-2.71
Zn: 0.6929 0.9028 0.3859  3 Zn 2.63-2.82, 4 Au 2.66-2.80
Zn: 0.3071 0.0972 0.6141  3 Zn 2.63-2.82, 4 Au 2.66-2.80
Au: 0.4812 0.1966 0.9625  4 Zn 2.65-2.78, 1 Au 2.91
Au: 0.5188 0.8034 0.0375  4 Zn 2.65-2.78, 1 Au 2.91
Au: 0.7587 0.3186 0.5175  7 Zn 2.66-2.80
Au: 0.2413 0.6814 0.4825  7 Zn 2.66-2.80
Er: 0.1123 0.1485 0.2246  5 Zn 3.01-3.30, 6 Au 3.09-3.12
Er: 0.8877 0.8515 0.7754  5 Zn 3.01-3.30, 6 Au 3.09-3.12

---

# 3
Entry from Alexandria via LeMat-Bulk: an optimized crystal structure of Rb2ZrNbCl6 (PBE).

DOS(E_F) (states/eV/cell): 5.6
Space group: Fm-3m
Total DFT energy (no corrections) (eV/cell): -45.3
Energy relative to the elements, uncorrected (eV/atom): -1.36

Unit cell a=7.3006 b=7.3006 c=7.3010 alpha=60.00 beta=60.00 gamma=90.00
With the nearest neighbours (Å) after each atom.
Element x y z (fractional)
Rb: 0.2500 0.7500 0.5000  12 Cl 3.65
Rb: 0.7500 0.2500 0.5000  12 Cl 3.65
Zr: 0.5000 0.5000 0.0000  6 Cl 2.60
Cl: 0.2485 0.7515 0.0000  1 Nb 2.57, 1 Zr 2.60
Cl: 0.7516 0.7516 0.4968  1 Nb 2.57, 1 Zr 2.60
Cl: 0.2484 0.2484 0.5032  1 Nb 2.57, 1 Zr 2.60
Cl: 0.7515 0.7515 0.0000  1 Nb 2.57, 1 Zr 2.60
Cl: 0.2485 0.2485 0.0000  1 Nb 2.57, 1 Zr 2.60
Cl: 0.7515 0.2485 0.0000  1 Nb 2.57, 1 Zr 2.60
Nb: 0.0000 0.0000 0.0000  6 Cl 2.57

---

# 4
Entry from Alexandria via LeMat-Bulk: an optimized crystal structure of Ca3Ac5Pr3 (PBE).

DOS(E_F) (states/eV/cell): 15.4
Space group: P-62m
Total DFT energy (no corrections) (eV/cell): -37.6

Unit cell a=3.7098 b=12.1625 c=12.1625 alpha=120.00 beta=90.00 gamma=90.00
With the nearest neighbours (Å) after each atom.
Element x y z (fractional)
Ac: 0.5000 0.6667 0.3333  5 Ac 3.71-4.01, 6 Pr 4.12
Ac: 0.5000 0.6589 0.6589  2 Pr 3.55, 2 Ca 3.59, 2 Ac 3.71
Ac: 0.5000 0.3411 0.0000  2 Pr 3.55, 2 Ca 3.59, 2 Ac 3.71
Ac: 0.5000 0.0000 0.3411  2 Pr 3.55, 2 Ca 3.59, 2 Ac 3.71
Ac: 0.5000 0.3333 0.6667  5 Ac 3.71-4.01, 6 Pr 4.12
Pr: 0.0000 0.0000 0.5901  2 Ca 3.50, 2 Ac 3.55, 2 Pr 3.71
Pr: 0.0000 0.5901 0.0000  2 Ca 3.50, 2 Ac 3.55, 2 Pr 3.71
Pr: 0.0000 0.4099 0.4099  2 Ca 3.50, 2 Ac 3.55, 2 Pr 3.71
Ca: 0.5000 0.1655 0.1655  4 Ca 3.49-3.71, 2 Pr 3.50, 2 Ac 3.59
Ca: 0.5000 0.0000 0.8345  4 Ca 3.49-3.71, 2 Pr 3.50, 2 Ac 3.59
Ca: 0.5000 0.8345 0.0000  4 Ca 3.49-3.71, 2 Pr 3.50, 2 Ac 3.59